Computed, not measured: an optimized crystal structure of AlReSe2 at the PBE level of DFT. Values from VASP.

Structure (Quantum ESPRESSO input):
```
&SYSTEM
  ibrav = 0, nat = 4, ntyp = 3
/
ATOMIC_SPECIES
Se 78.96 Se.upf
Al 26.98 Al.upf
Re 186.21 Re.upf
ATOMIC_POSITIONS angstrom
Se 6.567 2.848 0.096
Se 3.932 1.705 2.926
Al 5.672 2.459 4.932
Re 1.891 0.820 1.644
CELL_PARAMETERS angstrom
3.983 0.018 -0.133
2.736 2.895 -0.133
0.844 0.366 6.842
```

Output
**Density of states at the Fermi level**: 1.73 states/eV per cell
**Electronic total energy**: -5.563 eV/atom
**Total magnetic moment**: 0.0 Bohr magnetons per cell
**Raw formation energy**: 0.23 eV/atom
**Calculated volume**: 19.7 Å³ per atom